# KMg4Pt

Crystalline KMg4Pt at its relaxed geometry (GGA-PBE, Alexandria).

Cell and atoms, written as POSCAR:
```
KMg4Pt
1.0
0.000 4.110 4.110
4.110 0.000 4.110
4.110 4.110 0.000
K Mg Pt
1 4 1
direct
0.000 0.000 0.000
0.130 0.623 0.623
0.623 0.130 0.623
0.623 0.623 0.130
0.623 0.623 0.623
0.250 0.250 0.250
```

Summary:
* crystal system: cubic
* SG: F-43m, No. 216
* DFT formation energy: 0.14 eV/atom


# Si2BAuI

Crystalline Si2BAuI at its relaxed geometry (GGA-PBE, Alexandria).

Cell and atoms, written as POSCAR:
```
Si2BAuI
1.0
5.209 0.000 0.000
0.000 5.209 0.000
0.000 0.000 4.069
Si B Au I
2 1 1 1
direct
0.000 0.500 0.000
0.500 0.000 0.000
0.000 0.000 0.500
0.000 0.000 0.000
0.500 0.500 0.500
```

Summary:
* crystal system: tetragonal
* SG: P4/mmm, No. 123
* raw total energy: -17.380 eV/f.u.


# NaUCuN3

Crystalline NaUCuN3 at its relaxed geometry (GGA-PBE, Alexandria).

Cell and atoms, written as POSCAR:
```
NaUCuN3
1.0
6.745 0.000 0.000
0.000 3.531 0.000
-3.056 0.000 8.428
Na U Cu N
2 2 2 6
direct
0.197 0.250 0.160
0.803 0.750 0.840
0.302 0.750 0.853
0.698 0.250 0.147
0.013 0.250 0.613
0.987 0.750 0.387
0.105 0.250 0.851
0.158 0.750 0.605
0.472 0.750 0.110
0.528 0.250 0.890
0.842 0.250 0.395
0.895 0.750 0.149
```

Summary:
* crystal system: monoclinic
* SG: P2_1/m, No. 11
* raw total energy: -44.611 eV/f.u.


# BeCdCu

Crystalline BeCdCu at its relaxed geometry (GGA-PBE, Alexandria).

Cell and atoms, written as POSCAR:
```
BeCdCu
1.0
-1.431 1.431 5.016
1.431 -1.431 5.016
1.431 1.431 -5.016
Be Cd Cu
1 1 1
direct
0.000 0.000 0.000
0.688 0.688 0.000
0.390 0.390 0.000
```

Summary:
* crystal system: tetragonal
* SG: I4mm, No. 107
* DFT formation energy: 0.14 eV/atom
* energy relative to the lowest polymorph listed for this composition: 108.6 meV per atom


# Ho2Zn6Cu3

Crystalline Ho2Zn6Cu3 at its relaxed geometry (GGA-PBE, Alexandria).

Cell and atoms, written as POSCAR:
```
Ho2Zn6Cu3
1.0
7.384 0.000 0.000
-3.692 6.395 0.000
0.000 0.000 4.038
Ho Zn Cu
2 6 3
direct
0.333 0.667 0.000
0.667 0.333 0.000
0.000 0.201 0.000
0.000 0.723 0.500
0.201 0.000 0.000
0.277 0.277 0.500
0.723 0.000 0.500
0.799 0.799 0.000
0.000 0.394 0.500
0.394 0.000 0.500
0.606 0.606 0.500
```

Summary:
* crystal system: hexagonal
* SG: P-62m, No. 189
* DFT formation energy: -0.21 eV/atom


# MgZrGa2S

Crystalline MgZrGa2S at its relaxed geometry (GGA-PBE, Alexandria).

Cell and atoms, written as POSCAR:
```
MgZrGa2S
1.0
5.234 0.000 0.000
0.000 5.234 0.000
0.000 0.000 5.723
Mg Zr Ga S
1 1 2 1
direct
0.000 0.000 0.000
0.000 0.000 0.500
0.000 0.500 0.500
0.500 0.000 0.500
0.500 0.500 0.000
```

Summary:
* crystal system: tetragonal
* SG: P4/mmm, No. 123
* raw total energy: -15.719 eV/f.u.


# CaSc2Co

Crystalline CaSc2Co at its relaxed geometry (GGA-PBE, Alexandria).

Cell and atoms, written as POSCAR:
```
CaSc2Co
1.0
3.019 -5.107 0.000
3.019 5.107 0.000
-1.380 0.000 2.857
Ca Sc Co
1 2 1
direct
0.000 0.000 0.000
0.000 0.500 0.500
0.500 0.000 0.500
0.500 0.500 0.000
```

Summary:
* crystal system: monoclinic
* SG: C2/m, No. 12
* DFT formation energy: 0.43 eV/atom
* energy relative to the lowest polymorph listed for this composition: 516.2 meV per atom


# LiEr8Tc2

Crystalline LiEr8Tc2 at its relaxed geometry (GGA-PBE, Alexandria).

Cell and atoms, written as POSCAR:
```
LiEr8Tc2
1.0
4.327 -6.393 0.000
4.327 6.393 0.000
-1.479 0.000 5.442
Li Er Tc
1 8 2
direct
0.000 0.000 0.000
0.067 0.332 0.585
0.243 0.754 0.001
0.332 0.067 0.585
0.390 0.390 0.204
0.610 0.610 0.798
0.666 0.931 0.416
0.754 0.243 0.001
0.931 0.666 0.416
0.312 0.686 0.501
0.686 0.312 0.501
```

Summary:
* crystal system: monoclinic
* SG: Cm, No. 8
* DFT formation energy: -0.01 eV/atom


# Na3Tl8

Crystalline Na3Tl8 at its relaxed geometry (GGA-PBE, Alexandria).

Cell and atoms, written as POSCAR:
```
Na3Tl8
1.0
5.464 3.154 3.595
-5.464 3.154 3.595
0.000 -6.309 3.595
Na Tl
3 8
direct
0.000 0.500 0.500
0.500 0.000 0.500
0.500 0.500 0.000
0.073 0.921 0.680
0.079 0.320 0.927
0.320 0.927 0.079
0.355 0.355 0.355
0.645 0.645 0.645
0.680 0.073 0.921
0.921 0.680 0.073
0.927 0.079 0.320
```

Summary:
* crystal system: trigonal
* SG: R-3, No. 148
* DFT formation energy: 0.07 eV/atom
* energy relative to the lowest polymorph listed for this composition: 147.5 meV per atom


# TbPa2Ga9

Crystalline TbPa2Ga9 at its relaxed geometry (GGA-PBE, Alexandria).

Cell and atoms, written as POSCAR:
```
TbPa2Ga9
1.0
4.299 0.000 0.000
0.000 4.299 0.000
0.000 0.000 12.848
Tb Pa Ga
1 2 9
direct
0.000 0.000 0.000
0.000 0.000 0.333
0.000 0.000 0.667
0.000 0.500 0.166
0.000 0.500 0.500
0.000 0.500 0.834
0.500 0.000 0.166
0.500 0.000 0.500
0.500 0.000 0.834
0.500 0.500 0.000
0.500 0.500 0.335
0.500 0.500 0.665
```

Summary:
* crystal system: tetragonal
* SG: P4/mmm, No. 123
* DFT formation energy: -0.43 eV/atom


# LaGeO2

Crystalline LaGeO2 at its relaxed geometry (GGA-PBE, Alexandria).

Cell and atoms, written as POSCAR:
```
LaGeO2
1.0
1.858 1.073 6.418
-1.858 1.073 6.418
0.000 -2.146 6.418
La Ge O
1 1 2
direct
0.000 0.000 0.000
0.500 0.500 0.500
0.391 0.391 0.391
0.609 0.609 0.609
```

Summary:
* crystal system: trigonal
* SG: R-3m, No. 166
* raw total energy: -27.962 eV/f.u.


# InSi2Pt

Crystalline InSi2Pt at its relaxed geometry (GGA-PBE, Alexandria).

Cell and atoms, written as POSCAR:
```
InSi2Pt
1.0
-2.121 2.121 3.849
2.121 -2.121 3.849
2.121 2.121 -3.849
In Si Pt
1 2 1
direct
0.000 0.000 0.000
0.500 0.500 0.000
0.750 0.250 0.500
0.250 0.750 0.500
```

Summary:
* crystal system: tetragonal
* SG: I-4m2, No. 119
* raw total energy: -18.772 eV/f.u.


Number 1: total moment 0.000 μB/atom. Number 2: total moment 0.000 μB/atom. Number 3: total moment 0.000 μB/atom. Number 4: total moment 0.000 μB/atom. Number 5: total moment 0.000 μB/atom. Number 6: total moment 0.000 μB/atom. Number 7: total moment 0.147 μB/atom. Number 8: total moment 0.000 μB/atom. Number 9: total moment 0.000 μB/atom. Number 10: total moment 0.000 μB/atom. Number 11: total moment 0.000 μB/atom. Number 12: total moment 0.000 μB/atom.